First-principles (PBE) data for crystalline Pr2EuTl at its relaxed geometry, as listed in the Alexandria database.

abc: 4.9579 5.1060 5.1060
angles: 90.00 90.00 90.00
With the nearest neighbours (Å) after each atom.
Element x y z (fractional)
Pr (0.0000, 0.5000, 0.0000)  4 Tl 3.56, 4 Eu 3.56, 4 Pr 3.61
Pr (0.0000, 0.0000, 0.5000)  4 Eu 3.56, 4 Tl 3.56, 4 Pr 3.61
Tl (0.5000, 0.5000, 0.5000)  8 Pr 3.56, 4 Eu 3.61
Eu (0.5000, 0.0000, 0.0000)  8 Pr 3.56, 4 Tl 3.61

Results
DFT total energy = -0.421 Ry per atom
calculated density = 8.20 g/cm3

---

First-principles (PBE) data for crystalline PrEu2Tl at its relaxed geometry, as listed in the Alexandria database.

abc: 5.2881 5.0023 5.0023
angles: 90.00 90.00 90.00
With the nearest neighbours (Å) after each atom.
Element x y z (fractional)
Tl (0.5000, 0.0000, 0.0000)  4 Pr 3.54, 8 Eu 3.64
Eu (0.0000, 0.0000, 0.5000)  4 Eu 3.54, 4 Tl 3.64, 4 Pr 3.64
Eu (0.0000, 0.5000, 0.0000)  4 Eu 3.54, 4 Pr 3.64, 4 Tl 3.64
Pr (0.5000, 0.5000, 0.5000)  4 Tl 3.54, 8 Eu 3.64

Results
DFT total energy = -0.522 Ry per atom
calculated density = 8.15 g/cm3

---

First-principles (PBE) data for crystalline Pr2EuTl at its relaxed geometry, as listed in the Alexandria database.

abc: 5.6852 5.6852 5.6852
angles: 60.00 60.00 60.00
With the nearest neighbours (Å) after each atom.
Element x y z (fractional)
Pr (0.7500, 0.7500, 0.7500)  4 Tl 3.48, 4 Eu 3.48
Pr (0.2500, 0.2500, 0.2500)  4 Tl 3.48, 4 Eu 3.48
Tl (0.5000, 0.5000, 0.5000)  8 Pr 3.48
Eu (0.0000, 0.0000, 0.0000)  8 Pr 3.48

Results
DFT total energy = -0.415 Ry per atom
calculated density = 8.16 g/cm3

---

First-principles (PBE) data for crystalline Pr2EuTl at its relaxed geometry, as listed in the Alexandria database.

abc: 3.8401 3.8401 9.3819
angles: 90.00 90.00 90.00
With the nearest neighbours (Å) after each atom.
Element x y z (fractional)
Pr (0.0000, 0.0000, 0.2162)  4 Tl 3.39
Pr (0.0000, 0.0000, 0.7838)  4 Tl 3.39
Tl (0.5000, 0.5000, 0.0000)  8 Pr 3.39
Eu (0.5000, 0.5000, 0.5000)  8 Pr 3.80, 4 Eu 3.84

Results
DFT total energy = -0.418 Ry per atom
calculated density = 7.66 g/cm3